[1]
# Na2DyGaS4 (GGA-PBE, relaxed)
data_Na2DyGaS4
_cell_length_a 7.818
_cell_length_b 7.818
_cell_length_c 7.984
_cell_angle_alpha 120.70
_cell_angle_beta 120.70
_cell_angle_gamma 90.71
_symmetry_space_group_name_H-M 'P 1'
_symmetry_Int_Tables_number 1
_symmetry_space_group_name_Hall 'P 1'
loop_
_atom_site_label
_atom_site_type_symbol
_atom_site_fract_x
_atom_site_fract_y
_atom_site_fract_z
S1 S 0.247 0.252 0.038
S2 S 0.767 0.246 0.007
S3 S 0.248 0.253 0.462
S4 S 0.233 0.754 0.993
S5 S 0.254 0.733 0.493
S6 S 0.752 0.747 0.538
S7 S 0.753 0.748 0.962
S8 S 0.746 0.267 0.507
Na1 Na 0.500 0.000 0.000
Na2 Na 0.500 0.000 0.500
Na3 Na 0.000 0.000 0.500
Na4 Na 0.500 0.500 0.000
Dy1 Dy 0.000 0.500 0.500
Dy2 Dy 0.000 0.500 0.000
Ga1 Ga 0.000 0.000 0.000
Ga2 Ga 0.500 0.500 0.500
# Energy relative to the elements, uncorrected   -981 kJ/mol of formula units
# Electronic total energy   -4.62 eV/atom
# Mass density   4.0 Mg/m³

[2]
# Na4Dy3GaS8 (GGA-PBE, relaxed)
data_Na4Dy3GaS8
_cell_length_a 7.817
_cell_length_b 8.073
_cell_length_c 7.821
_cell_angle_alpha 118.99
_cell_angle_beta 119.99
_cell_angle_gamma 90.00
_symmetry_space_group_name_H-M 'P 1'
_symmetry_Int_Tables_number 1
_symmetry_space_group_name_Hall 'P 1'
loop_
_atom_site_label
_atom_site_type_symbol
_atom_site_fract_x
_atom_site_fract_y
_atom_site_fract_z
S1 S 0.257 0.272 0.515
S2 S 0.241 0.280 0.011
S3 S 0.769 0.280 0.011
S4 S 0.768 0.279 0.536
S5 S 0.759 0.720 0.989
S6 S 0.743 0.728 0.485
S7 S 0.232 0.721 0.464
S8 S 0.231 0.720 0.989
Dy1 Dy 0.500 0.500 0.000
Dy2 Dy 0.500 0.500 0.500
Dy3 Dy 0.000 0.500 0.500
Na1 Na 0.000 0.000 0.000
Na2 Na 0.500 0.000 0.000
Na3 Na 0.000 0.000 0.500
Na4 Na 0.500 0.000 0.500
Ga1 Ga 0.000 0.500 0.000
# Energy relative to the elements, uncorrected   -2395 kJ/mol of formula units
# Electronic total energy   -5.00 eV/atom
# Mass density   4.2 Mg/m³

[3]
# Na4Dy3GaSe8 (GGA-PBE, relaxed)
data_Na4Dy3GaSe8
_cell_length_a 8.162
_cell_length_b 8.453
_cell_length_c 8.163
_cell_angle_alpha 118.88
_cell_angle_beta 119.99
_cell_angle_gamma 90.00
_symmetry_space_group_name_H-M 'P 1'
_symmetry_Int_Tables_number 1
_symmetry_space_group_name_Hall 'P 1'
loop_
_atom_site_label
_atom_site_type_symbol
_atom_site_fract_x
_atom_site_fract_y
_atom_site_fract_z
Se1 Se 0.767 0.277 0.010
Se2 Se 0.757 0.723 0.990
Se3 Se 0.256 0.269 0.513
Se4 Se 0.233 0.723 0.466
Se5 Se 0.744 0.731 0.487
Se6 Se 0.767 0.277 0.534
Se7 Se 0.243 0.277 0.010
Se8 Se 0.233 0.723 0.990
Na1 Na 0.500 0.000 0.000
Na2 Na 0.500 0.000 0.500
Na3 Na 0.000 0.000 0.000
Na4 Na 0.000 0.000 0.500
Ga1 Ga 0.000 0.500 0.000
Dy1 Dy 0.000 0.500 0.500
Dy2 Dy 0.500 0.500 0.000
Dy3 Dy 0.500 0.500 0.500
# Energy relative to the elements, uncorrected   -2204 kJ/mol of formula units
# Electronic total energy   -4.55 eV/atom
# Mass density   5.3 Mg/m³

[4]
# Na3Dy3GaSe8 (GGA-PBE, relaxed)
data_Na3Dy3GaSe8
_cell_length_a 8.101
_cell_length_b 8.106
_cell_length_c 8.528
_cell_angle_alpha 118.42
_cell_angle_beta 90.00
_cell_angle_gamma 119.98
_symmetry_space_group_name_H-M 'P 1'
_symmetry_Int_Tables_number 1
_symmetry_space_group_name_Hall 'P 1'
loop_
_atom_site_label
_atom_site_type_symbol
_atom_site_fract_x
_atom_site_fract_y
_atom_site_fract_z
Na1 Na 0.500 0.500 0.000
Na2 Na 0.000 0.000 0.000
Na3 Na 0.000 0.500 0.000
Dy1 Dy 0.500 0.000 0.500
Dy2 Dy 0.500 0.500 0.500
Dy3 Dy 0.000 0.500 0.500
Se1 Se 0.256 0.513 0.269
Se2 Se 0.229 0.459 0.718
Se3 Se 0.770 0.011 0.282
Se4 Se 0.759 0.989 0.718
Se5 Se 0.230 0.989 0.718
Se6 Se 0.771 0.541 0.282
Se7 Se 0.241 0.011 0.282
Se8 Se 0.744 0.487 0.731
Ga1 Ga 0.000 0.000 0.500
# Energy relative to the elements, uncorrected   -1950 kJ/mol of formula units
# Electronic total energy   -4.59 eV/atom
# Mass density   5.2 Mg/m³

[5]
# Na2DyGaSe4 (GGA-PBE, relaxed)
data_Na2DyGaSe4
_cell_length_a 8.204
_cell_length_b 8.204
_cell_length_c 8.349
_cell_angle_alpha 120.59
_cell_angle_beta 120.59
_cell_angle_gamma 90.88
_symmetry_space_group_name_H-M 'P 1'
_symmetry_Int_Tables_number 1
_symmetry_space_group_name_Hall 'P 1'
loop_
_atom_site_label
_atom_site_type_symbol
_atom_site_fract_x
_atom_site_fract_y
_atom_site_fract_z
Se1 Se 0.252 0.737 0.494
Se2 Se 0.752 0.747 0.963
Se3 Se 0.237 0.752 0.994
Se4 Se 0.247 0.252 0.463
Se5 Se 0.753 0.748 0.537
Se6 Se 0.748 0.263 0.506
Se7 Se 0.248 0.253 0.037
Se8 Se 0.763 0.248 0.006
Ga1 Ga 0.000 0.000 0.000
Ga2 Ga 0.500 0.500 0.500
Dy1 Dy 0.000 0.500 0.500
Dy2 Dy 0.000 0.500 0.000
Na1 Na 0.000 0.000 0.500
Na2 Na 0.500 0.500 0.000
Na3 Na 0.500 0.000 0.500
Na4 Na 0.500 0.000 0.000
# Energy relative to the elements, uncorrected   -896 kJ/mol of formula units
# Electronic total energy   -4.19 eV/atom
# Mass density   5.1 Mg/m³

[6]
# NaDyGaSn (GGA-PBE, relaxed)
data_NaDyGaSn
_cell_length_a 5.181
_cell_length_b 5.181
_cell_length_c 5.181
_cell_angle_alpha 60.00
_cell_angle_beta 60.00
_cell_angle_gamma 60.00
_symmetry_space_group_name_H-M 'P 1'
_symmetry_Int_Tables_number 1
_symmetry_space_group_name_Hall 'P 1'
loop_
_atom_site_label
_atom_site_type_symbol
_atom_site_fract_x
_atom_site_fract_y
_atom_site_fract_z
Na1 Na 0.000 0.000 0.000
Ga1 Ga 0.250 0.250 0.250
Sn1 Sn 0.750 0.750 0.750
Dy1 Dy 0.500 0.500 0.500
# ΔE_f   -0.307 eV/atom
# Electronic total energy   -3.54 eV/atom
# Mass density   6.3 Mg/m³

[7]
# NaDyTlGa (GGA-PBE, relaxed)
data_NaDyTlGa
_cell_length_a 5.179
_cell_length_b 5.179
_cell_length_c 5.179
_cell_angle_alpha 60.00
_cell_angle_beta 60.00
_cell_angle_gamma 60.00
_symmetry_space_group_name_H-M 'P 1'
_symmetry_Int_Tables_number 1
_symmetry_space_group_name_Hall 'P 1'
loop_
_atom_site_label
_atom_site_type_symbol
_atom_site_fract_x
_atom_site_fract_y
_atom_site_fract_z
Tl1 Tl 0.500 0.500 0.500
Na1 Na 0.250 0.250 0.250
Dy1 Dy 0.750 0.750 0.750
Ga1 Ga 0.000 0.000 0.000
# ΔE_f   -0.237 eV/atom
# Electronic total energy   -3.07 eV/atom
# Mass density   7.8 Mg/m³

[8]
# DyNbGa2 (GGA-PBE, relaxed)
data_DyNbGa2
_cell_length_a 3.547
_cell_length_b 3.547
_cell_length_c 6.203
_cell_angle_alpha 90.00
_cell_angle_beta 90.00
_cell_angle_gamma 90.00
_symmetry_space_group_name_H-M 'P 1'
_symmetry_Int_Tables_number 1
_symmetry_space_group_name_Hall 'P 1'
loop_
_atom_site_label
_atom_site_type_symbol
_atom_site_fract_x
_atom_site_fract_y
_atom_site_fract_z
Nb1 Nb 0.500 0.500 0.000
Dy1 Dy 0.500 0.500 0.500
Ga1 Ga 0.000 0.000 0.209
Ga2 Ga 0.000 0.000 0.791
# Distance to the lowest polymorph of the same formula   0 meV per atom
# ΔE_f   -0.348 eV/atom
# Electronic total energy   -5.53 eV/atom
# Mass density   8.4 Mg/m³